# 1
The following is a PBE-GGA calculation of a relaxed Er2AgAu3 crystal, from OQMD via LeMat-Bulk.

As for the energy of formation: -0.77 eV per atom. The calculation puts the volume at 125.3 Å³/cell.

The structure belongs to space group P4mm (No. 99); the cell edges are 3.715, 3.715 and 9.077 Å and the angles 90.00°, 90.00° and 90.00°. The asymmetric unit holds Er at (0.000, 0.000, 0.000), Er at (0.500, 0.500, 0.490), Ag at (0.000, 0.000, 0.667), Au at (0.000, 0.000, 0.338), Au at (0.500, 0.500, 0.159) and Au at (0.500, 0.500, 0.829).

# 2
The following is a PBE-GGA calculation of a relaxed Dy2TmGe4Au4 crystal, from OQMD via LeMat-Bulk.

The calculation puts the volume at 448.0 Å³/cell.

The structure belongs to space group Immm (No. 71); the cell edges are 4.356, 7.050 and 14.587 Å and the angles 90.00°, 90.00° and 90.00°. The asymmetric unit holds Dy at (0.000, 0.000, 0.126), Tm at (0.000, 0.500, 0.000), Ge at (0.000, 0.314, 0.500), Ge at (0.000, 0.500, 0.216) and Au at (0.000, 0.202, 0.333).

# 3
The following is a PBE-GGA calculation of a relaxed TaPS4 crystal, from OQMD via LeMat-Bulk.

The calculation puts the volume at 262.4 Å³/cell.

The structure belongs to space group Amm2 (No. 38); the cell edges are 3.257, 13.071 and 6.164 Å and the angles 90.00°, 90.00° and 90.00°. The asymmetric unit holds Ta at (0.000, 0.000, 0.000), P at (0.500, 0.000, 0.535), S at (0.000, 0.114, 0.673) and S at (0.500, 0.121, 0.147).

# 4
The following is a PBE-GGA calculation of a relaxed HfZnNi2 crystal, from OQMD via LeMat-Bulk.

As for the energy of formation: -0.33 eV per atom. The calculation puts the volume at 228.3 Å³/cell.

The structure belongs to space group Pnma (No. 62); the cell edges are 6.460, 6.665 and 5.304 Å and the angles 90.00°, 90.00° and 90.00°. The asymmetric unit holds Hf at (0.030, 0.250, 0.161), Zn at (0.107, 0.750, 0.341) and Ni at (0.197, 0.050, 0.563).

Computed values of magnetic moment (unit: μB/cell) for the preceding records, in sequence: 0.00, 0.00, 0.00, 0.01.
Computed values of total energy (unit: eV per atom) for the preceding records, in sequence: -4.39, -4.76, -5.95, -5.92.